First-principles (PBE+U) data for a relaxed K2VC2O6 crystal, as listed in the Alexandria database.

Values from the calculation:
**N(E_F)**: 0.00 states/eV/f.u.
**Electronic total energy**: -0.2553 Ha/atom

abc: 9.171 5.294 6.683
angles: 90.00 117.03 90.00
Space group C2/m (No. 12)
Asymmetric unit:
K1 0.211 0.000 0.136 [4 per cell]
V1 0.000 0.000 0.500 [2 per cell]
C1 0.094 0.500 0.285 [4 per cell]
O1 0.021 0.287 0.278 [8 per cell]
O2 0.235 0.500 0.282 [4 per cell]